(1)
# GaCuHRh2, relaxed, DFT PBE
data_GaCuHRh2
_symmetry_space_group_name_H-M 'P 1'
_symmetry_Int_Tables_number 1
_cell_length_a 4.029
_cell_length_b 4.029
_cell_length_c 3.523
_cell_angle_alpha 90.00
_cell_angle_beta 90.00
_cell_angle_gamma 90.00
loop_
_symmetry_equiv_pos_as_xyz
'x,y,z'
loop_
_atom_site_label
_atom_site_fract_x
_atom_site_fract_y
_atom_site_fract_z
_atom_site_occupancy
Ga1 0.000 0.000 0.000 1
Cu1 0.500 0.500 0.000 1
H1 0.500 0.500 0.500 1
Rh1 0.000 0.500 0.500 1
Rh2 0.500 0.000 0.500 1
# DFT total energy = -5.318 eV per atom
# space group = P4/mmm (123)

***

(2)
# TePt2Cl, relaxed, DFT PBE
data_TePt2Cl
_symmetry_space_group_name_H-M 'P 1'
_symmetry_Int_Tables_number 1
_cell_length_a 6.373
_cell_length_b 6.373
_cell_length_c 6.373
_cell_angle_alpha 117.40
_cell_angle_beta 117.40
_cell_angle_gamma 94.57
loop_
_symmetry_equiv_pos_as_xyz
'x,y,z'
loop_
_atom_site_label
_atom_site_fract_x
_atom_site_fract_y
_atom_site_fract_z
_atom_site_occupancy
Te1 0.000 0.000 0.000 1
Te2 0.750 0.250 0.500 1
Pt1 0.116 0.125 0.491 1
Pt2 0.375 0.884 0.009 1
Pt3 0.634 0.625 0.509 1
Pt4 0.875 0.366 0.991 1
Cl1 0.250 0.750 0.500 1
Cl2 0.500 0.500 0.000 1
# space group = I-42d (122)
# uncorrected formation energy = 0.1427 eV per atom

***

(3)
# CsSrTi2Hg, relaxed, DFT PBE
data_CsSrTi2Hg
_symmetry_space_group_name_H-M 'P 1'
_symmetry_Int_Tables_number 1
_cell_length_a 5.358
_cell_length_b 5.358
_cell_length_c 6.101
_cell_angle_alpha 90.00
_cell_angle_beta 90.00
_cell_angle_gamma 90.00
loop_
_symmetry_equiv_pos_as_xyz
'x,y,z'
loop_
_atom_site_label
_atom_site_fract_x
_atom_site_fract_y
_atom_site_fract_z
_atom_site_occupancy
Cs1 0.000 0.000 0.000 1
Sr1 0.500 0.500 0.000 1
Ti1 0.000 0.500 0.500 1
Ti2 0.500 0.000 0.500 1
Hg1 0.500 0.500 0.500 1
# space group = P4/mmm (123)
# energy relative to the elements = 816 meV per atom

***

Computed density of states at the Fermi level, in the same sequence as the records: 0.617; 0.288; 1.133 states/eV/atom.